(1)
! K2AuCl (PBEsol, relaxed); values from VASP
! - Energy relative to the lowest polymorph listed for this composition: 0.037 eV/atom
&SYSTEM
  ibrav = 0, nat = 4, ntyp = 3
/
ATOMIC_SPECIES
K 39.10 K.upf
Au 196.97 Au.upf
Cl 35.45 Cl.upf
ATOMIC_POSITIONS crystal
K 0.750 0.250 0.250
K 0.250 0.750 0.750
Au 0.000 0.500 0.500
Cl 0.500 0.000 0.000
CELL_PARAMETERS angstrom
5.421 0.000 0.000
2.711 4.701 0.043
2.711 1.519 4.449



(2)
This record from the Alexandria database describes a relaxed Er2S3O12 crystal. The functional is PBEsol. Values from VASP.

Cell and atoms, written as Quantum ESPRESSO input:
```
&SYSTEM
  ibrav = 0, nat = 68, ntyp = 3
/
ATOMIC_SPECIES
O 16.00 O.upf
S 32.06 S.upf
Er 167.26 Er.upf
ATOMIC_POSITIONS crystal
O 0.675 0.015 0.275
O 0.675 0.485 0.725
O 0.667 0.072 0.459
O 0.333 0.572 0.459
O 0.052 0.909 0.854
O 0.333 0.928 0.541
O 0.127 0.350 0.560
O 0.642 0.237 0.669
O 0.358 0.763 0.331
O 0.642 0.263 0.331
O 0.941 0.168 0.574
O 0.059 0.668 0.574
O 0.873 0.650 0.440
O 0.167 0.428 0.959
O 0.358 0.737 0.669
O 0.559 0.668 0.926
O 0.441 0.332 0.074
O 0.627 0.150 0.060
O 0.325 0.985 0.725
O 0.373 0.650 0.060
O 0.627 0.350 0.940
O 0.052 0.591 0.146
O 0.825 0.515 0.225
O 0.059 0.832 0.426
O 0.373 0.850 0.940
O 0.858 0.763 0.169
O 0.175 0.485 0.775
O 0.833 0.928 0.959
O 0.873 0.850 0.560
O 0.948 0.091 0.146
O 0.448 0.091 0.354
O 0.667 0.428 0.541
O 0.142 0.237 0.831
O 0.559 0.832 0.074
O 0.941 0.332 0.426
O 0.127 0.150 0.440
O 0.825 0.985 0.775
O 0.142 0.263 0.169
O 0.441 0.168 0.926
O 0.552 0.909 0.646
O 0.833 0.572 0.041
O 0.448 0.409 0.646
O 0.175 0.015 0.225
O 0.948 0.409 0.854
O 0.167 0.072 0.041
O 0.858 0.737 0.831
O 0.325 0.515 0.275
O 0.552 0.591 0.354
S 0.608 0.111 0.355
S 0.392 0.611 0.355
S 0.533 0.250 0.000
S 0.108 0.389 0.855
S 0.892 0.611 0.145
S 0.108 0.111 0.145
S 0.392 0.889 0.645
S 0.467 0.750 0.000
S 0.892 0.889 0.855
S 0.608 0.389 0.645
S 0.967 0.750 0.500
S 0.033 0.250 0.500
Er 0.250 0.964 0.383
Er 0.750 0.964 0.117
Er 0.750 0.036 0.617
Er 0.750 0.536 0.883
Er 0.250 0.536 0.617
Er 0.750 0.464 0.383
Er 0.250 0.464 0.117
Er 0.250 0.036 0.883
CELL_PARAMETERS angstrom
9.152 0.000 0.000
0.000 9.232 0.000
0.000 0.000 12.773
```



For the records above, the corresponding M_tot values read 0.0; 0.0 μB per formula unit.
For the records above, the corresponding energy relative to the elements, uncorrected values read -0.940; -2.216 eV/atom.